Record 1
KCd2SbRu | GGA-PBE | relaxed

```
KCd2SbRu
1.0
5.361 0.000 0.000
0.000 5.361 0.000
0.000 0.000 4.989
K Cd Sb Ru
1 2 1 1
direct
0.000 0.000 0.000
0.000 0.500 0.500
0.500 0.000 0.500
0.500 0.500 0.000
0.500 0.500 0.500
```

Output
SG: P4/mmm (123)
Final energy (eV per atom): -3.3154
Formation energy (no corrections) (eV per atom): -0.050
Total magnetic moment (μB per atom): 0.00

=====

Record 2
KZrTl2 | GGA-PBE | relaxed

```
KZrTl2
1.0
3.422 0.000 0.000
0.000 3.422 0.000
0.000 0.000 10.424
K Zr Tl
1 1 2
direct
0.000 0.000 0.000
0.500 0.500 0.689
0.000 0.000 0.500
0.500 0.500 0.277
```

Output
SG: P4mm (99)
ΔE to the lowest computed polymorph (meV per atom): 256
Final energy (eV per atom): -3.3019
Total magnetic moment (μB per atom): 0.00

=====

Record 3
NaSrCd | GGA-PBE | relaxed

```
NaSrCd
1.0
12.260 0.000 0.000
0.000 5.068 0.000
-0.297 0.000 6.685
Na Sr Cd
4 4 4
direct
0.000 0.000 0.000
0.083 0.500 0.718
0.500 0.500 0.000
0.583 0.000 0.718
0.213 0.500 0.245
0.300 0.000 0.730
0.713 0.000 0.245
0.800 0.500 0.730
0.415 0.000 0.252
0.485 0.500 0.487
0.915 0.500 0.252
0.985 0.000 0.487
```

Output
SG: Cm (8)
ΔE to the lowest computed polymorph (meV per atom): 54
Final energy (eV per atom): -1.4362
Total magnetic moment (μB per atom): 0.00

=====

Record 4
NaN4 | GGA-PBE | relaxed

```
NaN4
1.0
5.411 0.000 0.000
0.000 4.178 0.000
-1.060 0.000 5.322
Na N
1 4
direct
0.000 0.000 0.000
0.221 0.500 0.225
0.311 0.000 0.693
0.689 0.000 0.307
0.779 0.500 0.775
```

Output
SG: P2/m (10)
ΔE to the lowest computed polymorph (meV per atom): 3773
Final energy (eV per atom): -3.2050
Formation energy (no corrections) (eV per atom): 3.719
Total magnetic moment (μB per atom): 2.20

=====

Record 5
ZrBiHO2 | GGA-PBE | relaxed

```
ZrBiHO2
1.0
4.575 0.000 0.000
0.000 4.575 0.000
0.000 0.000 3.635
Zr Bi H O
1 1 1 2
direct
0.000 0.000 0.000
0.500 0.500 0.500
0.500 0.500 0.000
0.000 0.500 0.500
0.500 0.000 0.500
```

Output
SG: P4/mmm (123)
Final energy (eV per atom): -5.3378
Total magnetic moment (μB per atom): 0.27

=====

Record 6
Rb4Nd3ScTe8 | GGA-PBE | relaxed

```
Rb4Nd3ScTe8
1.0
4.578 2.643 8.559
-4.578 2.643 8.559
0.000 -5.287 8.559
Rb Nd Sc Te
4 3 1 8
direct
0.000 0.000 0.000
0.000 0.500 0.500
0.500 0.000 0.500
0.500 0.500 0.000
0.000 0.000 0.500
0.000 0.500 0.000
0.500 0.000 0.000
0.500 0.500 0.500
0.236 0.236 0.236
0.250 0.724 0.724
0.276 0.276 0.750
0.276 0.750 0.276
0.724 0.250 0.724
0.724 0.724 0.250
0.750 0.276 0.276
0.764 0.764 0.764
```

Output
SG: R-3m (166)
Final energy (eV per atom): -4.4562
Formation energy (no corrections) (eV per atom): -1.354
Total magnetic moment (μB per atom): 0.00

=====

Record 7
MgAs | GGA-PBE | relaxed

```
MgAs
1.0
7.472 0.000 0.000
0.000 7.472 0.000
0.000 0.000 7.472
Mg As
6 6
direct
0.000 0.250 0.500
0.000 0.750 0.500
0.250 0.500 0.000
0.500 0.000 0.250
0.500 0.000 0.750
0.750 0.500 0.000
0.000 0.500 0.250
0.000 0.500 0.750
0.250 0.000 0.500
0.500 0.250 0.000
0.500 0.750 0.000
0.750 0.000 0.500
```

Output
SG: Pm-3n (223)
ΔE to the lowest computed polymorph (meV per atom): 433
Final energy (eV per atom): -3.1069
Total magnetic moment (μB per atom): 0.38

=====

Record 8
Li7CdAg4 | GGA-PBE | relaxed

```
Li7CdAg4
1.0
5.028 0.000 0.000
0.200 5.718 0.000
2.480 1.872 7.023
Li Cd Ag
7 1 4
direct
0.000 0.000 0.000
0.168 0.422 0.343
0.333 0.835 0.653
0.497 0.753 0.005
0.503 0.247 0.995
0.667 0.165 0.347
0.832 0.578 0.657
0.000 0.500 0.000
0.166 0.929 0.326
0.332 0.328 0.672
0.668 0.672 0.328
0.834 0.071 0.674
```

Output
SG: P-1 (2)
ΔE to the lowest computed polymorph (meV per atom): 0
Final energy (eV per atom): -2.3408
Total magnetic moment (μB per atom): 0.00

=====

- total magnetic moment of number 2 (KZrTl2)?
  0.00 μB per atom

=====

- Look up the final energy of the third one.
  -1.4362 eV per atom

=====

- Number 1 is which compound?
  KCd2SbRu

=====

- Among the records above, which one has the highest total magnetic moment?
  NaN4